# 1
Here is a geometry-optimized NbBi3Cl structure from Alexandria via LeMat-Bulk. Energies are from PBE-GGA.

Values from the calculation:
Polymorph energy (0 for the lowest one) (eV/f.u.): 0.00
Space-group type: No. 221
E_form (uncorrected) (meV per atom): 145

```
NbBi3Cl
1.0
-1.597 -5.091 1.246
3.221 0.074 4.432
-4.135 2.024 2.971
Nb Bi Cl
1 3 1
direct
0.000 0.000 0.000
0.000 0.500 0.000
0.000 0.000 0.500
0.500 0.000 0.000
0.500 0.500 0.500
```


# 2
Here is a geometry-optimized NbBi3Cl structure from Alexandria via LeMat-Bulk. Energies are from PBE-GGA.

Values from the calculation:
Polymorph energy (0 for the lowest one) (eV/f.u.): 4.30
Space-group type: No. 221
E_form (uncorrected) (meV per atom): 1005

```
NbBi3Cl
1.0
-0.042 2.513 4.756
1.952 -4.424 2.356
5.012 1.744 -0.877
Nb Bi Cl
1 3 1
direct
0.500 0.500 0.500
0.000 0.500 0.000
0.000 0.000 0.500
0.500 0.000 0.000
0.000 0.000 0.000
```


# 3
Here is a geometry-optimized NbBiCl3 structure from Alexandria via LeMat-Bulk. Energies are from PBE-GGA.

Values from the calculation:
Polymorph energy (0 for the lowest one) (eV/f.u.): 3.44
Space-group type: No. 221
E_form (uncorrected) (meV per atom): 474

```
NbBiCl3
1.0
-0.752 -2.587 -4.820
5.466 -0.149 -0.772
0.231 -4.876 2.581
Nb Bi Cl
1 1 3
direct
0.500 0.500 0.500
0.000 0.000 0.000
0.000 0.500 0.000
0.000 0.000 0.500
0.500 0.000 0.000
```